Entry 1:
Compound: Be2AsPb
Source: Alexandria via LeMat-Bulk
Functional: PBE
Structure: optimized geometry

The space group is Immm (No. 71) and the conventional cell measures 3.518, 5.892 and 7.345 Å, with angles of 90.00, 90.00 and 90.00 degrees. The distinct sites, in fractional coordinates, are Be at (0.000, 0.000, 0.188), As at (0.000, 0.500, 0.500) and Pb at (0.000, 0.500, 0.000).

The calculation puts the formation energy at 547 meV per atom. For the uncorrected energy, the calculation gives -27.25 eV per cell. The calculation puts the total moment at 0.00 μB per formula unit.

Entry 2:
Compound: TlAsBr
Source: Alexandria via LeMat-Bulk
Functional: PBE
Structure: optimized geometry

The space group is Fmm2 (No. 42) and the conventional cell measures 4.668, 6.060 and 11.814 Å, with angles of 90.00, 90.00 and 90.00 degrees. The distinct sites, in fractional coordinates, are Tl at (0.000, 0.000, 0.000), As at (0.000, 0.000, 0.371) and Br at (0.000, 0.000, 0.692).

The uncorrected formation energy comes out at 0.205 eV per atom. For the uncorrected energy, the calculation gives -32.30 eV per cell. The calculation puts the total moment at 0.00 μB per formula unit.

Entry 3:
Compound: Ac3Bi2O2
Source: Alexandria via LeMat-Bulk
Functional: PBE
Structure: optimized geometry

The space group is C2/m (No. 12) and the conventional cell measures 13.570, 4.399 and 8.142 Å, with angles of 90.00, 121.00 and 90.00 degrees. The distinct sites, in fractional coordinates, are Ac at (0.000, 0.000, 0.000), Ac at (0.201, 0.000, 0.769), Bi at (0.056, 0.500, 0.353) and O at (0.204, 0.000, 0.077).

The uncorrected formation energy comes out at -2.081 eV per atom. For the uncorrected energy, the calculation gives -89.14 eV per cell. The calculation puts the total moment at 0.00 μB per formula unit.

Entry 4:
Compound: SmHo2Tm3
Source: Alexandria via LeMat-Bulk
Functional: PBE
Structure: optimized geometry

The space group is C2/c (No. 15) and the conventional cell measures 17.260, 7.051 and 6.090 Å, with angles of 90.00, 90.23 and 90.00 degrees. The distinct sites, in fractional coordinates, are Sm at (0.000, 0.126, 0.250), Ho at (0.167, 0.375, 0.417), Tm at (0.000, 0.376, 0.750) and Tm at (0.168, 0.125, 0.916).

The calculation puts the formation energy at 24 meV per atom. For the uncorrected energy, the calculation gives -108.58 eV per cell. The calculation puts the total moment at 0.00 μB per formula unit.